1.
A relaxed Gd3ScH crystal, computed with PBE.

The structure belongs to space group Pm-3m (No. 221); the cell edges are 4.941, 4.941 and 4.941 Å and the angles 90.00°, 90.00° and 90.00°. The distinct sites, in fractional coordinates, are Gd at (0.000, 0.000, 0.500), Sc at (0.500, 0.500, 0.500) and H at (0.000, 0.000, 0.000).

The total energy comes out at -10.523 eV/atom. As for the density of states at the Fermi level: 1.2856 states/eV per atom. The value obtained for the magnetization is 21.79 Bohr magnetons per cell.


2.
A relaxed GdHSe crystal, computed with PBE.

The structure belongs to space group P-6m2 (No. 187); the cell edges are 3.8790, 3.8790 and 3.9408 Å and the angles 90.00°, 90.00° and 120.00°. The distinct sites, in fractional coordinates, are Gd at (0.0000, 0.0000, 0.0000), H at (0.6667, 0.3333, 0.0000) and Se at (0.3333, 0.6667, 0.5000).

The total energy comes out at -8.427 eV/atom. As for the density of states at the Fermi level: 0.0000 states/eV per atom. The value obtained for the magnetization is 7.00 Bohr magnetons per cell.


What is the magnetization in the second record? 7.00 Bohr magnetons per cell


What is the magnetization in the second record? 7.00 Bohr magnetons per cell


Please write out number 1 again, unchanged.
A relaxed Gd3ScH crystal, computed with PBE.

The structure belongs to space group Pm-3m (No. 221); the cell edges are 4.941, 4.941 and 4.941 Å and the angles 90.00°, 90.00° and 90.00°. The distinct sites, in fractional coordinates, are Gd at (0.000, 0.000, 0.500), Sc at (0.500, 0.500, 0.500) and H at (0.000, 0.000, 0.000).

The total energy comes out at -10.523 eV/atom. As for the density of states at the Fermi level: 1.2856 states/eV per atom. The value obtained for the magnetization is 21.79 Bohr magnetons per cell.


Which formula does entry 1 have? Gd3ScH